1.
Density functional theory data (PBE) for a relaxed MgTi2CdH crystal.

Output
ρ ... 5.16 g cm⁻³
Offset from the most stable computed form ... 0.00 eV per formula unit

abc: 4.0441 4.0441 4.5922
angles: 90.00 90.00 90.00
With the nearest neighbours (Å) after each atom.
Space group P4/mmm (No. 123)
One atom of each set of equivalent atoms:
Mg (0.0000, 0.0000, 0.0000)  2 H 2.30
Ti (0.0000, 0.5000, 0.5000)  2 H 2.02
Cd (0.5000, 0.5000, 0.0000)  4 Mg 2.86, 8 Ti 3.06
H (0.0000, 0.0000, 0.5000)  4 Ti 2.02



2.
Density functional theory data (PBE) for a relaxed La5MgCu4 crystal.

Output
ρ ... 6.27 g cm⁻³
ΔH_f (0 K) ... -0.13 eV/atom

abc: 3.6625 3.6625 19.2116
angles: 90.00 90.00 90.00
With the nearest neighbours (Å) after each atom.
Space group P4/mmm (No. 123)
One atom of each set of equivalent atoms:
La (0.0000, 0.0000, 0.0000)  8 Cu 3.17
La (0.0000, 0.0000, 0.1913)  8 Cu 3.18
La (0.0000, 0.0000, 0.3784)  4 Cu 3.12, 4 Mg 3.49
Mg (0.5000, 0.5000, 0.5000)  8 La 3.49, 4 Mg 3.66
Cu (0.5000, 0.5000, 0.0950)  8 La 3.17-3.18
Cu (0.5000, 0.5000, 0.2876)  8 La 3.12-3.18



Look up the ρ of the first one. 5.16 g cm⁻³



What is the ρ in the first record? 5.16 g cm⁻³



The highest ρ belongs to which entry? La5MgCu4